VASP calculation (PBE-GGA) on a relaxed structure of Ag2Hg2TeI2.

Results
M_tot in μB/cell: 0.00
Raw total energy in eV per formula unit: -13.11
D(E_F) in states/eV/cell: 0.6
Raw formation energy in kcal/mol of atoms: -1.85
Calculated volume in Å³ per atom: 33.721
Density in g cm⁻³: 7.02

abc: 14.707 4.701 7.922
angles: 90.00 120.48 90.00
Space group C2/m (No. 12)
One atom of each set of equivalent atoms:
Ag 0.206 0.000 0.341 [4 per cell]
Hg 0.058 0.500 0.841 [4 per cell]
Te 0.000 0.000 0.000 [2 per cell]
I 0.180 0.000 0.680 [4 per cell]